1.
Ni3MoP: single point on PBEsol structure, meta-GGA SCAN.

As for the formation energy: 0.437 eV per atom. Its calculated total energy is -91.62 eV/cell. The value obtained for the theoretical density is 7.5 g cm⁻³. Its space group is Pm-3m (221). The density of states at the Fermi level comes out at 2.75 states/eV/cell.

a = 4.0685 Å, b = 4.0685 Å, c = 4.0685 Å
α = 90.00°, β = 90.00°, γ = 90.00°
With the nearest neighbours (Å) after each atom.
Fractional positions:
1 Ni 0.0000 0.0000 0.5000  2 P 2.03
2 Ni 0.5000 0.0000 0.0000  2 P 2.03
3 Mo 0.5000 0.5000 0.5000  12 Ni 2.88
4 P 0.0000 0.0000 0.0000  6 Ni 2.03
5 Ni 0.0000 0.5000 0.0000  2 P 2.03

=====

2.
LaInTe: single point on PBEsol structure, meta-GGA SCAN.

The value obtained for the uncorrected formation energy is -0.795 eV per atom. Its calculated total energy is -116.13 eV/cell. The value obtained for the theoretical density is 7.5 g cm⁻³. Its space group is I4mm (107). The density of states at the Fermi level comes out at 2.74 states/eV/cell.

a = 3.9397 Å, b = 3.9397 Å, c = 6.1310 Å
α = 108.74°, β = 108.74°, γ = 90.00°
With the nearest neighbours (Å) after each atom.
Fractional positions:
1 In 0.0072 0.0072 0.0144  4 Te 3.28, 5 La 3.41-3.49
2 La 0.3265 0.3265 0.6530  4 Te 3.29, 5 In 3.41-3.49
3 Te 0.6663 0.6663 0.3326  4 In 3.28, 4 La 3.29

=====

3.
Cs2CoI4: single point on PBEsol structure, meta-GGA SCAN.

The value obtained for the uncorrected formation energy is -1.128 eV per atom. Its calculated total energy is -991.16 eV/cell. The value obtained for the theoretical density is 4.6 g cm⁻³. Its space group is Pnma (62). The density of states at the Fermi level comes out at 0.00 states/eV/cell.

a = 8.0547 Å, b = 10.7726 Å, c = 13.9805 Å
α = 90.00°, β = 90.00°, γ = 90.00°
With the nearest neighbours (Å) after each atom.
Fractional positions:
1 Cs 0.2500 0.5276 0.6604  9 I 3.74-4.09
2 I 0.2500 0.6906 0.9047  1 Co 2.53
3 I 0.4933 0.3342 0.8479  1 Co 2.52
4 Cs 0.2500 0.8633 0.3961  8 I 3.92-4.23, 1 Co 4.28
5 Cs 0.2500 0.3633 0.1039  8 I 3.92-4.23, 1 Co 4.28
6 Cs 0.7500 0.1367 0.6039  8 I 3.92-4.23, 1 Co 4.28
7 Co 0.2500 0.7588 0.0779  4 I 2.52-2.54
8 I 0.0067 0.8342 0.6521  1 Co 2.52
9 I 0.7500 0.0089 0.8897  1 Co 2.54
10 Cs 0.7500 0.6367 0.8961  8 I 3.92-4.23, 1 Co 4.28
11 I 0.9933 0.6658 0.1521  1 Co 2.52
12 Co 0.7500 0.2412 0.9221  4 I 2.52-2.54
13 Cs 0.7500 0.9724 0.1604  9 I 3.74-4.09
14 I 0.2500 0.1906 0.5953  1 Co 2.53
15 I 0.7500 0.3094 0.0953  1 Co 2.53
16 Co 0.2500 0.2588 0.4221  4 I 2.52-2.54
17 I 0.7500 0.5089 0.6103  1 Co 2.54
18 Co 0.7500 0.7412 0.5779  4 I 2.52-2.54
19 I 0.5067 0.1658 0.3479  1 Co 2.52
20 I 0.5067 0.6658 0.1521  1 Co 2.52
21 Cs 0.7500 0.4724 0.3396  9 I 3.74-4.09
22 I 0.0067 0.3342 0.8479  1 Co 2.52
23 I 0.2500 0.9911 0.1103  1 Co 2.54
24 Cs 0.2500 0.0276 0.8396  9 I 3.74-4.09
25 I 0.9933 0.1658 0.3479  1 Co 2.52
26 I 0.4933 0.8342 0.6521  1 Co 2.52
27 I 0.2500 0.4911 0.3897  1 Co 2.54
28 I 0.7500 0.8094 0.4047  1 Co 2.53

=====

4.
NbSiAs2Au: single point on PBEsol structure, meta-GGA SCAN.

The value obtained for the uncorrected formation energy is 0.871 eV per atom. Its calculated total energy is -148.33 eV/cell. The value obtained for the theoretical density is 7.7 g cm⁻³. Its space group is P4/mmm (123). The density of states at the Fermi level comes out at 3.11 states/eV/cell.

a = 4.5917 Å, b = 4.5917 Å, c = 4.7811 Å
α = 90.00°, β = 90.00°, γ = 90.00°
With the nearest neighbours (Å) after each atom.
Fractional positions:
1 Si 0.0000 0.0000 0.0000  4 As 2.30, 2 Nb 2.39
2 As 0.0000 0.5000 0.0000  2 Si 2.30
3 Nb 0.0000 0.0000 0.5000  2 Si 2.39
4 Au 0.5000 0.5000 0.5000  4 Nb 3.25, 8 As 3.31
5 As 0.5000 0.0000 0.0000  2 Si 2.30

=====

5.
CsFeBi2Pt: single point on PBEsol structure, meta-GGA SCAN.

As for the formation energy: 0.310 eV per atom. Its calculated total energy is -281.74 eV/cell. The value obtained for the theoretical density is 8.7 g cm⁻³. Its space group is P4/mmm (123). The density of states at the Fermi level comes out at 4.85 states/eV/cell.

a = 5.0216 Å, b = 5.5177 Å, c = 5.5177 Å
α = 90.00°, β = 90.00°, γ = 90.00°
With the nearest neighbours (Å) after each atom.
Fractional positions:
1 Bi 0.0000 0.5000 0.0000  2 Pt 2.76
2 Pt 0.0000 0.0000 0.0000  2 Fe 2.51, 4 Bi 2.76
3 Fe 0.5000 0.0000 0.0000  2 Pt 2.51
4 Bi 0.0000 0.0000 0.5000  2 Pt 2.76
5 Cs 0.5000 0.5000 0.5000  8 Bi 3.73, 4 Fe 3.90

=====

6.
Er3Ni2: single point on PBEsol structure, meta-GGA SCAN.

As for the formation energy: -0.404 eV per atom. Its calculated total energy is -556.17 eV/cell. The value obtained for the theoretical density is 10.0 g cm⁻³. Its space group is R-3 (148). The density of states at the Fermi level comes out at 13.38 states/eV/cell.

a = 7.0206 Å, b = 7.0206 Å, c = 7.0206 Å
α = 72.74°, β = 72.74°, γ = 72.74°
With the nearest neighbours (Å) after each atom.
Fractional positions:
1 Ni 0.6449 0.0873 0.4604  1 Ni 2.52, 4 Er 2.71-2.80
2 Ni 0.9127 0.5396 0.3551  1 Ni 2.52, 4 Er 2.71-2.80
3 Er 0.3291 0.1127 0.8369  4 Ni 2.76-2.92
4 Ni 0.4604 0.6449 0.0873  1 Ni 2.52, 4 Er 2.71-2.80
5 Er 0.1631 0.6709 0.8873  4 Ni 2.76-2.92
6 Er 0.2931 0.2931 0.2931  6 Ni 2.71-2.86
7 Er 0.1127 0.8369 0.3291  4 Ni 2.76-2.92
8 Er 0.8369 0.3291 0.1127  4 Ni 2.76-2.92
9 Ni 0.3551 0.9127 0.5396  1 Ni 2.52, 4 Er 2.71-2.80
10 Er 0.6709 0.8873 0.1631  4 Ni 2.76-2.92
11 Er 0.8873 0.1631 0.6709  4 Ni 2.76-2.92
12 Ni 0.5396 0.3551 0.9127  1 Ni 2.52, 4 Er 2.71-2.80
13 Er 0.7069 0.7069 0.7069  6 Ni 2.71-2.86
14 Ni 0.0873 0.4604 0.6449  1 Ni 2.52, 4 Er 2.71-2.80
15 Er 0.5000 0.5000 0.5000  6 Ni 2.84, 2 Er 3.18

=====

7.
Li2Cr2O7: single point on PBEsol structure, meta-GGA SCAN.

The value obtained for the uncorrected formation energy is -1.983 eV per atom. Its calculated total energy is -213.96 eV/cell. The value obtained for the theoretical density is 2.8 g cm⁻³. Its space group is P1 (1).

a = 6.3940 Å, b = 6.3309 Å, c = 7.2660 Å
α = 85.63°, β = 68.69°, γ = 83.32°
With the nearest neighbours (Å) after each atom.
Fractional positions:
1 O 0.7845 0.1863 0.1801  1 Cr 1.60
2 O 0.2930 0.6046 0.8553  1 Cr 1.64
3 Cr 0.5176 0.1477 0.7485  4 O 1.58-1.73
4 Li 0.5777 0.5968 0.9045  4 O 1.97-2.19
5 O 0.0880 0.2139 0.3662  1 Cr 1.62
6 O 0.7503 0.5483 0.3516  1 Cr 1.62
7 O 0.1270 0.9427 0.6937  1 Cr 1.63
8 O 0.2837 0.1468 0.9615  2 Cr 1.72-1.78
9 O 0.4456 0.4741 0.1994  1 Cr 1.62
10 O 0.0572 0.8385 0.2371  1 Cr 1.62
11 Cr 0.2127 0.0325 0.2061  4 O 1.60-1.78
12 Li 0.0880 0.5419 0.3369  5 O 1.93-2.14
13 Li 0.0520 0.2380 0.6471  4 O 1.91-2.09
14 O 0.0862 0.5462 0.6021  1 Cr 1.65
15 O 0.4435 0.9369 0.2312  1 Cr 1.60
16 O 0.7008 0.2847 0.7757  1 Cr 1.61
17 O 0.8394 0.6932 0.9584  1 Cr 1.66
18 Cr 0.0892 0.6981 0.7763  4 O 1.63-1.66
19 Cr 0.6122 0.3691 0.3117  4 O 1.60-1.79
20 Li 0.7613 0.8422 0.1997  4 O 1.93-2.08
21 O 0.4541 0.2515 0.5464  2 Cr 1.73-1.79
22 O 0.6285 0.9113 0.7050  1 Cr 1.58

=====

8.
CdAg2Au: single point on PBEsol structure, meta-GGA SCAN.

As for the formation energy: -0.103 eV per atom. Its calculated total energy is -162.72 eV/cell. The value obtained for the theoretical density is 12.6 g cm⁻³. Its space group is Cm (8). The density of states at the Fermi level comes out at 0.99 states/eV/cell.

a = 2.9604 Å, b = 5.0044 Å, c = 4.9787 Å
α = 100.52°, β = 90.00°, γ = 107.20°
With the nearest neighbours (Å) after each atom.
Fractional positions:
1 Au 0.5008 0.0016 0.4998  7 Ag 2.88-2.92, 3 Cd 2.88-2.89, 2 Au 2.96
2 Ag 0.2491 0.4983 0.7532  5 Ag 2.87-2.96, 3 Au 2.88-2.92, 4 Cd 2.89-2.90
3 Ag 0.9989 0.9979 0.9944  5 Ag 2.87-2.96, 4 Au 2.88-2.92, 3 Cd 2.90-2.91
4 Cd 0.7510 0.5021 0.2527  3 Au 2.88-2.89, 7 Ag 2.89-2.91, 2 Cd 2.96

=====

9.
CsC3: single point on PBEsol structure, meta-GGA SCAN.

As for the formation energy: 0.900 eV per atom. Its calculated total energy is -64.51 eV/cell. The value obtained for the theoretical density is 5.1 g cm⁻³. Its space group is C2/m (12). The density of states at the Fermi level comes out at 0.75 states/eV/cell.

a = 3.8225 Å, b = 3.8225 Å, c = 5.3242 Å
α = 89.82°, β = 89.82°, γ = 44.51°
With the nearest neighbours (Å) after each atom.
Fractional positions:
1 C 0.5000 0.5000 0.5000  2 C 1.36
2 C 0.3078 0.3078 0.5001  1 C 1.36
3 C 0.6922 0.6922 0.4999  1 C 1.36
4 Cs 0.0000 0.0000 0.0000  2 Cs 2.90, 4 C 3.03

=====

10.
Zn2HgTe: single point on PBEsol structure, meta-GGA SCAN.

The value obtained for the uncorrected formation energy is 0.144 eV per atom. Its calculated total energy is -131.87 eV/cell. The value obtained for the theoretical density is 8.6 g cm⁻³. Its space group is C2/m (12). The density of states at the Fermi level comes out at 1.30 states/eV/cell.

a = 3.9374 Å, b = 4.8979 Å, c = 4.8979 Å
α = 95.45°, β = 103.47°, γ = 103.47°
With the nearest neighbours (Å) after each atom.
Fractional positions:
1 Zn 0.0000 0.0000 0.5000  2 Te 2.76, 2 Hg 2.76
2 Zn 0.0000 0.5000 0.0000  2 Hg 2.76, 2 Te 2.76
3 Te 0.5000 0.0000 0.0000  4 Zn 2.76
4 Hg 0.5000 0.5000 0.5000  4 Zn 2.76